#1
This record from the Alexandria database describes a relaxed structure of Li3LaOs. The functional is GGA-PBE.

a = 4.571 Å, b = 4.571 Å, c = 4.571 Å
α = 90.00°, β = 90.00°, γ = 90.00°
Each line ends with the local moment (μB).
Element x y z (fractional)
Li: 0.000 0.000 0.500  0.01
Li: 0.000 0.500 0.000  0.01
Li: 0.500 0.000 0.000  0.00
Os: 0.500 0.500 0.500  -1.63
La: 0.000 0.000 0.000  0.00

---

#2
This record from the Alexandria database describes a relaxed structure of Li3LaOs. The functional is GGA-PBE.

a = 4.700 Å, b = 4.700 Å, c = 4.700 Å
α = 90.00°, β = 90.00°, γ = 90.00°
Element x y z (fractional)
Li: 0.000 0.000 0.500
Os: 0.000 0.000 0.000
Li: 0.000 0.500 0.000
La: 0.500 0.500 0.500
Li: 0.500 0.000 0.000

---

Question: which arrangement is favored energetically? Ranking from most to least stable: #2, #1.

---

#1
This record from the Alexandria database describes a relaxed structure of SrLiLa2Os. The functional is GGA-PBE.

a = 5.494 Å, b = 5.494 Å, c = 5.660 Å
α = 90.00°, β = 90.00°, γ = 90.00°
Element x y z (fractional)
Os: 0.000 0.000 0.000
La: 0.000 0.500 0.000
Sr: 0.500 0.500 0.500
Li: 0.000 0.000 0.500
La: 0.500 0.000 0.000

---

#2
This record from the Alexandria database describes a relaxed structure of SrLiLa2Os. The functional is GGA-PBE.

a = 5.539 Å, b = 5.539 Å, c = 6.170 Å
α = 90.00°, β = 90.00°, γ = 90.00°
Element x y z (fractional)
Os: 0.000 0.000 0.000
La: 0.500 0.000 0.000
Li: 0.500 0.500 0.500
Sr: 0.000 0.000 0.500
La: 0.000 0.500 0.000

---

Question: which arrangement is favored energetically? Ranking from most to least stable: #2, #1.